Record 1
A plane-wave DFT calculation with PBE was carried out for a relaxed PmPuTh2Bi4 crystal.

a = 7.922 Å, b = 4.594 Å, c = 7.948 Å
α = 90.00°, β = 109.57°, γ = 90.00°
Atoms (fractional coordinates):
Pm  0.000  0.000  0.000
Pu  0.000  0.500  0.500
Th  0.500  0.000  0.500
Th  0.500  0.500  0.000
Bi  0.247  0.000  0.748
Bi  0.248  0.500  0.250
Bi  0.752  0.500  0.750
Bi  0.753  0.000  0.252

Values from the calculation:
For the total energy, the calculation gives -6.82 eV per atom. The calculation puts the density of states at the Fermi level at 16.08 states/eV per cell.



Record 2
A plane-wave DFT calculation with PBE was carried out for a relaxed PmPuThBi crystal.

a = 5.530 Å, b = 5.530 Å, c = 5.530 Å
α = 60.00°, β = 60.00°, γ = 60.00°
Atoms (fractional coordinates):
Pm  0.000  0.000  0.000
Pu  0.250  0.250  0.250
Th  0.500  0.500  0.500
Bi  0.750  0.750  0.750

Values from the calculation:
For the total energy, the calculation gives -7.68 eV per atom. The calculation puts the density of states at the Fermi level at 18.60 states/eV per cell.



Record 3
A plane-wave DFT calculation with PBE was carried out for a relaxed PmPu2ThBi4 crystal.

a = 7.910 Å, b = 4.580 Å, c = 7.918 Å
α = 90.00°, β = 109.50°, γ = 90.00°
Atoms (fractional coordinates):
Pm  0.000  0.000  0.000
Pu  0.500  0.000  0.500
Pu  0.500  0.500  0.000
Th  0.000  0.500  0.500
Bi  0.253  0.000  0.752
Bi  0.253  0.500  0.251
Bi  0.747  0.000  0.248
Bi  0.747  0.500  0.749

Values from the calculation:
For the total energy, the calculation gives -7.62 eV per atom. The calculation puts the density of states at the Fermi level at 28.91 states/eV per cell.



Record 4
A plane-wave DFT calculation with PBE was carried out for a relaxed Pm2PuThBi4 crystal.

a = 7.927 Å, b = 4.582 Å, c = 7.931 Å
α = 90.00°, β = 109.46°, γ = 90.00°
Atoms (fractional coordinates):
Pm  0.000  0.000  0.000
Pm  0.500  0.500  0.000
Pu  0.000  0.500  0.500
Th  0.500  0.000  0.500
Bi  0.248  0.000  0.748
Bi  0.249  0.500  0.250
Bi  0.751  0.500  0.750
Bi  0.752  0.000  0.252

Values from the calculation:
For the total energy, the calculation gives -6.57 eV per atom. The calculation puts the density of states at the Fermi level at 17.73 states/eV per cell.



Record 5
A plane-wave DFT calculation with PBE was carried out for a relaxed PmTmPu2Bi4 crystal.

a = 7.818 Å, b = 4.530 Å, c = 7.857 Å
α = 90.00°, β = 109.39°, γ = 90.00°
Atoms (fractional coordinates):
Pm  0.000  0.000  0.000
Tm  0.000  0.500  0.500
Pu  0.500  0.000  0.500
Pu  0.500  0.500  0.000
Bi  0.247  0.000  0.744
Bi  0.250  0.500  0.255
Bi  0.750  0.500  0.745
Bi  0.753  0.000  0.256

Values from the calculation:
For the total energy, the calculation gives -7.25 eV per atom. The calculation puts the density of states at the Fermi level at 34.22 states/eV per cell.



Record 6
A plane-wave DFT calculation with PBE was carried out for a relaxed PmPuZnBi crystal.

a = 5.369 Å, b = 5.369 Å, c = 5.369 Å
α = 60.00°, β = 60.00°, γ = 60.00°
Atoms (fractional coordinates):
Pm  0.000  0.000  0.000
Pu  0.500  0.500  0.500
Zn  0.250  0.250  0.250
Bi  0.750  0.750  0.750

Values from the calculation:
For the total energy, the calculation gives -6.34 eV per atom. The calculation puts the density of states at the Fermi level at 12.10 states/eV per cell.



Record 7
A plane-wave DFT calculation with PBE was carried out for a relaxed RbPmBi crystal.

a = 7.967 Å, b = 7.967 Å, c = 7.967 Å
α = 147.84°, β = 147.84°, γ = 46.12°
Atoms (fractional coordinates):
Rb  0.000  0.000  0.000
Pm  0.265  0.265  0.000
Bi  0.720  0.720  0.000

Values from the calculation:
For the total energy, the calculation gives -3.53 eV per atom. As for the energy above the most stable polymorph in this dataset: 0.0966 eV per atom. The calculation puts the density of states at the Fermi level at 2.24 states/eV per cell.



Record 8
A plane-wave DFT calculation with PBE was carried out for a relaxed RbPmBi2 crystal.

a = 9.445 Å, b = 9.445 Å, c = 9.445 Å
α = 28.28°, β = 28.28°, γ = 28.28°
Atoms (fractional coordinates):
Rb  0.000  0.000  0.000
Pm  0.500  0.500  0.500
Bi  0.233  0.233  0.233
Bi  0.767  0.767  0.767

Values from the calculation:
For the total energy, the calculation gives -3.76 eV per atom. As for the energy above the most stable polymorph in this dataset: 0.1546 eV per atom. The calculation puts the density of states at the Fermi level at 3.01 states/eV per cell.



Record 9
A plane-wave DFT calculation with PBE was carried out for a relaxed RbPmBi2 crystal.

a = 5.835 Å, b = 5.835 Å, c = 5.835 Å
α = 60.00°, β = 60.00°, γ = 60.00°
Atoms (fractional coordinates):
Rb  0.000  0.000  0.000
Pm  0.500  0.500  0.500
Bi  0.250  0.250  0.250
Bi  0.750  0.750  0.750

Values from the calculation:
For the total energy, the calculation gives -3.65 eV per atom. As for the energy above the most stable polymorph in this dataset: 0.2602 eV per atom. The calculation puts the density of states at the Fermi level at 6.22 states/eV per cell.



Record 10
A plane-wave DFT calculation with PBE was carried out for a relaxed RbPmBi2 crystal.

a = 6.237 Å, b = 6.237 Å, c = 3.542 Å
α = 90.00°, β = 90.00°, γ = 90.00°
Atoms (fractional coordinates):
Rb  0.000  0.000  0.000
Pm  0.500  0.500  0.000
Bi  0.000  0.500  0.500
Bi  0.500  0.000  0.500

Values from the calculation:
For the total energy, the calculation gives -3.71 eV per atom. As for the energy above the most stable polymorph in this dataset: 0.2061 eV per atom. The calculation puts the density of states at the Fermi level at 3.17 states/eV per cell.



Record 11
A plane-wave DFT calculation with PBE was carried out for a relaxed RbPmBi crystal.

a = 5.221 Å, b = 5.221 Å, c = 13.936 Å
α = 100.92°, β = 100.92°, γ = 60.04°
Atoms (fractional coordinates):
Rb  0.115  0.115  0.340
Rb  0.885  0.885  0.660
Pm  0.363  0.363  0.088
Pm  0.637  0.637  0.912
Bi  0.279  0.279  0.839
Bi  0.721  0.721  0.161

Values from the calculation:
For the total energy, the calculation gives -3.62 eV per atom. As for the energy above the most stable polymorph in this dataset: 0.0000 eV per atom. The calculation puts the density of states at the Fermi level at 4.55 states/eV per cell.



Record 12
A plane-wave DFT calculation with PBE was carried out for a relaxed RbPmBi2 crystal.

a = 4.313 Å, b = 4.313 Å, c = 8.121 Å
α = 90.00°, β = 90.00°, γ = 90.00°
Atoms (fractional coordinates):
Rb  0.000  0.000  0.000
Pm  0.000  0.000  0.500
Bi  0.500  0.500  0.309
Bi  0.500  0.500  0.691

Values from the calculation:
For the total energy, the calculation gives -3.91 eV per atom. As for the energy above the most stable polymorph in this dataset: 0.0000 eV per atom. The calculation puts the density of states at the Fermi level at 2.49 states/eV per cell.



Record 13
A plane-wave DFT calculation with PBE was carried out for a relaxed Rb3Pm3BiS8 crystal.

a = 9.190 Å, b = 9.190 Å, c = 9.190 Å
α = 53.55°, β = 53.55°, γ = 53.55°
Atoms (fractional coordinates):
Rb  0.000  0.500  0.500
Rb  0.500  0.000  0.500
Rb  0.500  0.500  0.000
Pm  0.000  0.000  0.500
Pm  0.000  0.500  0.000
Pm  0.500  0.000  0.000
Bi  0.500  0.500  0.500
S  0.231  0.231  0.231
S  0.239  0.727  0.727
S  0.273  0.273  0.761
S  0.273  0.761  0.273
S  0.727  0.239  0.727
S  0.727  0.727  0.239
S  0.761  0.273  0.273
S  0.769  0.769  0.769

Values from the calculation:
For the total energy, the calculation gives -5.09 eV per atom. The calculation puts the density of states at the Fermi level at 2.91 states/eV per cell. As for the uncorrected formation energy: -1484 meV/atom.